Here is GaMo after structural relaxation from the Alexandria database. Energies are from PBE.

Values from the calculation:
formation enthalpy at 0 K	0.366	eV per atom
E_tot	-105.0	eV for the cell shown
excess energy over the best structure of this formula in the dataset	454	meV/atom

Lattice parameters (Å, degrees): 8.449 8.449 4.632 90.00 90.00 90.00
Space group P4/mcc (No. 124)
Symmetry-distinct sites (fractional):
1 Ga 0.132 0.250 0.000 x8
2 Mo 0.126 0.419 0.500 x8